VASP calculation (GGA-PBEsol) on a relaxed structure of SrCoPt2.

a = 4.6220 Å, b = 4.6220 Å, c = 4.6220 Å
α = 60.00°, β = 60.00°, γ = 60.00°
Last column: nearest neighbours and their distance in Å.
Positions (direct):
Sr: 0.0000 0.0000 0.0000  4 Co 2.83, 4 Pt 2.83
Co: 0.7500 0.7500 0.7500  4 Sr 2.83, 4 Pt 2.83
Pt: 0.2500 0.2500 0.2500  4 Pt 2.83, 4 Sr 2.83
Pt: 0.5000 0.5000 0.5000  4 Co 2.83, 4 Pt 2.83

Calculated values
electronic total energy	-22.58	eV/cell
SG	F-43m (216)



VASP calculation (GGA-PBEsol) on a relaxed structure of Na5LaO4.

a = 7.5586 Å, b = 8.0684 Å, c = 5.5654 Å
α = 90.00°, β = 90.00°, γ = 90.00°
Last column: nearest neighbours and their distance in Å.
Positions (direct):
Na: 0.0072 0.0604 0.2485  3 O 2.28-2.44
Na: 0.0072 0.4396 0.2485  3 O 2.28-2.44
Na: 0.2500 0.7500 0.2779  4 O 2.30-2.43
Na: 0.4928 0.0604 0.2485  3 O 2.28-2.44
Na: 0.4928 0.4396 0.2485  3 O 2.28-2.44
Na: 0.5072 0.5604 0.7515  3 O 2.28-2.44
Na: 0.5072 0.9396 0.7515  3 O 2.28-2.44
Na: 0.7500 0.2500 0.7221  4 O 2.30-2.43
Na: 0.9928 0.5604 0.7515  3 O 2.28-2.44
Na: 0.9928 0.9396 0.7515  3 O 2.28-2.44
La: 0.2500 0.2500 0.7190  4 O 2.22-2.29
La: 0.7500 0.7500 0.2810  4 O 2.22-2.29
O: 0.0072 0.2500 0.9442  1 La 2.22, 3 Na 2.28-2.30
O: 0.2500 0.0081 0.5043  1 La 2.29, 5 Na 2.36-2.44
O: 0.2500 0.4919 0.5043  1 La 2.29, 5 Na 2.36-2.44
O: 0.4928 0.2500 0.9442  1 La 2.22, 3 Na 2.28-2.30
O: 0.5072 0.7500 0.0558  1 La 2.22, 3 Na 2.28-2.30
O: 0.7500 0.5081 0.4957  1 La 2.29, 5 Na 2.36-2.44
O: 0.7500 0.9919 0.4957  1 La 2.29, 5 Na 2.36-2.44
O: 0.9928 0.7500 0.0558  1 La 2.22, 3 Na 2.28-2.30

Calculated values
raw formation energy	-1719	meV per atom
SG	Pmmn (59)
excess energy over the best structure of this formula in the dataset	23	meV/atom



VASP calculation (GGA-PBEsol) on a relaxed structure of SbRuI2N.

a = 5.4850 Å, b = 5.4850 Å, c = 4.9138 Å
α = 90.00°, β = 90.00°, γ = 90.00°
Last column: nearest neighbours and their distance in Å.
Positions (direct):
Sb: 0.0000 0.0000 0.0000  2 Ru 2.46
Ru: 0.0000 0.0000 0.5000  2 Sb 2.46, 4 I 2.74
I: 0.0000 0.5000 0.5000  2 Ru 2.74
I: 0.5000 0.0000 0.5000  2 Ru 2.74
N: 0.5000 0.5000 0.0000  8 I 3.68, 4 Sb 3.88

Calculated values
raw formation energy	1376	meV per atom
SG	P4/mmm (123)